(1)
ThCoGe PBE relaxed; calculated total energy = -42.100 eV/cell
1.0
-2.069 2.069 7.032
2.069 -2.069 7.032
2.069 2.069 -7.032
Th Co Ge
2 2 2
Direct
0.000 0.000 0.000
0.750 0.250 0.500
0.341 0.841 0.500
0.591 0.591 0.000
0.172 0.672 0.500
0.422 0.422 0.000

(2)
Th3ZnCo2Ge6 PBE relaxed; calculated total energy = -67.051 eV/cell
1.0
6.125 0.000 0.000
-3.063 5.305 0.000
0.000 0.000 7.697
Th Zn Co Ge
3 1 2 6
Direct
0.000 0.000 0.000
0.333 0.667 0.659
0.667 0.333 0.341
0.000 0.000 0.500
0.333 0.667 0.035
0.667 0.333 0.965
0.192 0.383 0.286
0.192 0.808 0.286
0.383 0.192 0.714
0.617 0.808 0.286
0.808 0.192 0.714
0.808 0.617 0.714

(3)
Th2ZnCo4Ge3 PBE relaxed; calculated total energy = -63.651 eV/cell
1.0
4.066 0.000 0.000
0.000 4.066 0.000
0.000 0.000 10.009
Th Zn Co Ge
2 1 4 3
Direct
0.000 0.500 0.246
0.500 0.000 0.754
0.500 0.500 0.000
0.000 0.000 0.500
0.000 0.500 0.862
0.500 0.000 0.138
0.500 0.500 0.500
0.000 0.000 0.000
0.000 0.500 0.626
0.500 0.000 0.374

(4)
Th2ZnCoGe PBE relaxed; calculated total energy = -59.513 eV/cell
1.0
7.053 0.000 0.000
0.000 4.169 0.000
-3.459 0.000 7.671
Th Zn Co Ge
4 2 2 2
Direct
0.184 0.250 0.361
0.281 0.250 0.954
0.719 0.750 0.046
0.816 0.750 0.639
0.304 0.750 0.673
0.696 0.250 0.327
0.091 0.750 0.074
0.909 0.250 0.926
0.451 0.750 0.276
0.549 0.250 0.724

Copy entry 2 word for word.
Th3ZnCo2Ge6 PBE relaxed; calculated total energy = -67.051 eV/cell
1.0
6.125 0.000 0.000
-3.063 5.305 0.000
0.000 0.000 7.697
Th Zn Co Ge
3 1 2 6
Direct
0.000 0.000 0.000
0.333 0.667 0.659
0.667 0.333 0.341
0.000 0.000 0.500
0.333 0.667 0.035
0.667 0.333 0.965
0.192 0.383 0.286
0.192 0.808 0.286
0.383 0.192 0.714
0.617 0.808 0.286
0.808 0.192 0.714
0.808 0.617 0.714

Repeat the first record exactly.
ThCoGe PBE relaxed; calculated total energy = -42.100 eV/cell
1.0
-2.069 2.069 7.032
2.069 -2.069 7.032
2.069 2.069 -7.032
Th Co Ge
2 2 2
Direct
0.000 0.000 0.000
0.750 0.250 0.500
0.341 0.841 0.500
0.591 0.591 0.000
0.172 0.672 0.500
0.422 0.422 0.000

Please write out number 4 again, unchanged.
Th2ZnCoGe PBE relaxed; calculated total energy = -59.513 eV/cell
1.0
7.053 0.000 0.000
0.000 4.169 0.000
-3.459 0.000 7.671
Th Zn Co Ge
4 2 2 2
Direct
0.184 0.250 0.361
0.281 0.250 0.954
0.719 0.750 0.046
0.816 0.750 0.639
0.304 0.750 0.673
0.696 0.250 0.327
0.091 0.750 0.074
0.909 0.250 0.926
0.451 0.750 0.276
0.549 0.250 0.724